Entry 1:
Sr2TlReI | PBE | relaxed

Structure (extended XYZ):
```
5
Lattice="6.3307 0.0000 0.0000 0.0000 6.3307 0.0000 0.0000 0.0000 6.1860" Properties=species:S:1:pos:R:3 pbc="T T T"
Sr 0.0000 3.1654 0.0000
Sr 3.1654 0.0000 0.0000
Tl 0.0000 0.0000 0.0000
Re 3.1654 3.1654 3.0930
I 0.0000 0.0000 3.0930
```

**Raw formation energy**: 1.1762 eV per atom

=====

Entry 2:
NaSr3Ir | PBE | relaxed

Structure (extended XYZ):
```
20
Lattice="7.1353 -7.2358 0.0000 7.1353 7.2358 0.0000 -0.8861 0.0000 7.4914" Properties=species:S:1:pos:R:3 pbc="T T T"
Na 4.9605 4.8327 6.5799
Na 7.9809 4.8327 4.6572
Na 5.4035 -4.8327 2.8342
Na 8.4240 -4.8327 0.9115
Sr 1.1448 1.3400 4.8939
Sr 1.5879 -1.3400 1.1482
Sr 5.1419 2.1156 3.7101
Sr 5.2215 1.5385 0.1145
Sr 8.6856 2.1156 0.0356
Sr 4.7785 -1.5385 3.8602
Sr 8.6060 1.5385 3.6312
Sr 4.6988 -2.1156 7.4558
Sr 8.1629 -1.5385 7.3769
Sr 8.2425 -2.1156 3.7813
Sr 11.7966 1.3400 6.3432
Sr 12.2396 -1.3400 2.5975
Ir 6.9138 3.6848 1.8729
Ir 6.4707 0.1703 5.6186
Ir 6.9138 -0.1703 1.8729
Ir 6.4707 -3.6848 5.6186
```

**DFT formation energy**: -0.032 eV/atom

=====

Entry 3:
Ti4GaSn | PBE | relaxed

Structure (extended XYZ):
```
12
Lattice="7.1049 -2.6120 0.0000 7.1049 2.6120 0.0000 -1.0247 0.0000 6.1017" Properties=species:S:1:pos:R:3 pbc="T T T"
Ti 5.4511 2.0688 3.5210
Ti 3.8563 0.8202 5.4860
Ti 7.2216 2.0688 5.6316
Ti 4.3687 -0.8202 2.4352
Ti 8.8163 0.8202 3.6665
Ti 5.9635 -2.0688 0.4701
Ti 9.3287 -0.8202 0.6157
Ti 7.7339 -2.0688 2.5807
Ga 3.0401 1.3060 3.0509
Ga 3.5524 -1.3060 0.0000
Sn 6.8487 0.5474 1.5254
Sn 6.3363 -0.5474 4.5763
```

**DFT formation energy**: -0.018 eV/atom

=====

Entry 4:
WSeCl2 | PBE | relaxed

Structure (extended XYZ):
```
4
Lattice="-1.5408 2.4271 6.8041 1.5408 -2.4271 6.8041 1.5408 2.4271 -6.8041" Properties=species:S:1:pos:R:3 pbc="T T T"
W 0.0000 0.0000 0.0000
Se 0.0000 2.4271 4.9013
Cl 1.5408 0.0000 2.0026
Cl 0.0000 0.0000 6.9199
```

**Raw formation energy**: -0.0255 eV per atom

=====

Entry 5:
MgCo2Pt | PBE | relaxed

Structure (extended XYZ):
```
4
Lattice="2.6948 0.0000 0.0000 0.0000 3.9156 0.0000 0.0000 0.0000 5.1891" Properties=species:S:1:pos:R:3 pbc="T T T"
Mg 0.0000 0.0000 0.0000
Co 1.3474 1.9578 1.3309
Co 1.3474 1.9578 3.8581
Pt 0.0000 0.0000 2.5945
```

**DFT formation energy**: -0.029 eV/atom

=====

Entry 6:
Pm3AlHg5 | PBE | relaxed

Structure (extended XYZ):
```
18
Lattice="9.0576 0.0000 0.0000 -4.5288 7.8441 0.0000 0.0000 0.0000 6.4392" Properties=species:S:1:pos:R:3 pbc="T T T"
Pm -1.5013 2.6003 1.6098
Pm -3.0275 5.2438 4.8294
Pm 3.0026 0.0000 1.6098
Pm 1.5013 2.6003 4.8294
Pm 6.0551 0.0000 4.8294
Pm 3.0275 5.2438 1.6098
Al 0.0000 0.0000 0.0000
Al 0.0000 0.0000 3.2196
Hg -1.4997 2.5976 4.8294
Hg -3.0291 5.2466 1.6098
Hg 2.9994 0.0000 4.8294
Hg 1.4997 2.5976 1.6098
Hg 0.0000 5.2294 0.0000
Hg 0.0000 5.2294 3.2196
Hg 4.5288 2.6147 0.0000
Hg 4.5288 2.6147 3.2196
Hg 6.0582 0.0000 1.6098
Hg 3.0291 5.2466 4.8294
```

**DFT formation energy**: -0.413 eV/atom

=====

Entry 7:
V2Ga4Pd | PBE | relaxed

Structure (extended XYZ):
```
7
Lattice="-2.4134 2.4134 6.1867 2.4134 -2.4134 6.1867 2.4134 2.4134 -6.1867" Properties=species:S:1:pos:R:3 pbc="T T T"
V 0.0000 0.0000 1.0319
V 0.0000 0.0000 11.3414
Ga 2.4134 0.0000 0.0000
Ga 0.0000 0.0000 3.6540
Ga 0.0000 2.4134 0.0000
Ga 0.0000 0.0000 8.7193
Pd 0.0000 0.0000 6.1867
```

**DFT formation energy**: 0.298 eV/atom